[1]
KIO2F | the Alexandria database | GGA-PBE | optimized geometry; DFT total energy = -0.1038 hartree per atom; DOS at the Fermi energy = 1.0981 states/eV per atom; energy relative to the elements, uncorrected = 63 meV/atom
1.0
5.115 0.000 0.000
0.000 5.115 0.000
0.000 0.000 4.264
K I O F
1 1 2 1
Cartesian
0.000 0.000 0.000
2.558 2.558 0.000
0.000 2.558 2.132
2.558 0.000 2.132
2.558 2.558 2.132

[2]
Tm2ThTl | the Alexandria database | GGA-PBE | optimized geometry; DFT total energy = -0.1759 hartree per atom; ΔE_f = -0.105 eV per atom; DOS at the Fermi energy = 1.3007 states/eV per atom; distance to the lowest polymorph of the same formula = 0.077 eV/atom
1.0
4.903 0.000 0.000
0.000 4.903 0.000
0.000 0.000 4.752
Tm Th Tl
2 1 1
Cartesian
0.000 2.451 0.000
2.451 0.000 0.000
0.000 0.000 2.376
2.451 2.451 2.376

[3]
AcLa3TbDy | the Alexandria database | GGA-PBE | optimized geometry; DFT total energy = -0.1709 hartree per atom; ΔE_f = 0.038 eV per atom; DOS at the Fermi energy = 1.9006 states/eV per atom
1.0
8.240 0.000 0.000
0.000 5.302 0.000
-3.421 0.000 10.042
Ac La Tb Dy
2 6 2 2
Cartesian
0.420 1.325 2.944
4.399 3.976 7.098
-0.446 3.976 5.480
1.289 3.976 0.407
-1.272 1.325 7.968
6.091 3.976 2.074
3.529 1.325 9.635
5.265 1.325 4.562
1.105 3.976 8.801
3.714 1.325 1.241
1.960 1.325 6.293
2.859 3.976 3.749

[4]
Tb3PmPt2 | the Alexandria database | GGA-PBE | optimized geometry; DFT total energy = -0.2176 hartree per atom; ΔE_f = -0.799 eV per atom; DOS at the Fermi energy = 0.9147 states/eV per atom; distance to the lowest polymorph of the same formula = 0.115 eV/atom
1.0
7.780 -2.445 0.000
7.780 2.445 0.000
-1.240 0.000 8.390
Tb Pm Pt
6 2 4
Cartesian
0.344 0.000 2.840
4.461 0.000 4.008
5.022 0.000 7.695
9.298 0.000 0.696
9.859 0.000 4.382
13.976 0.000 5.550
1.691 0.000 6.930
12.630 0.000 1.460
2.872 0.000 1.606
6.779 0.000 2.168
7.541 0.000 6.222
11.448 0.000 6.784

[5]
LaEuTh | the Alexandria database | GGA-PBE | optimized geometry; DFT total energy = -0.2743 hartree per atom; ΔE_f = 0.077 eV per atom; DOS at the Fermi energy = 1.2275 states/eV per atom; distance to the lowest polymorph of the same formula = 0.004 eV/atom
1.0
-1.833 1.833 8.051
1.833 -1.833 8.051
1.833 1.833 -8.051
La Eu Th
1 1 1
Cartesian
0.000 0.000 0.000
0.000 0.000 5.052
0.000 0.000 10.477

[6]
ThBiSb | the Alexandria database | GGA-PBE | optimized geometry; DFT total energy = -0.2079 hartree per atom; DOS at the Fermi energy = 0.8068 states/eV per atom; energy relative to the elements, uncorrected = -516 meV/atom; distance to the lowest polymorph of the same formula = 0.163 eV/atom
1.0
-2.086 2.086 5.165
2.086 -2.086 5.165
2.086 2.086 -5.165
Th Bi Sb
1 1 1
Cartesian
0.000 0.000 0.000
0.000 0.000 3.427
0.000 0.000 6.688

[7]
K2CeSnBr8 | the Alexandria database | GGA-PBE | optimized geometry; DFT total energy = -0.1303 hartree per atom; DOS at the Fermi energy = 0.3594 states/eV per atom; energy relative to the elements, uncorrected = -1421 meV/atom
1.0
7.052 0.000 0.000
0.000 9.098 0.000
-0.372 0.000 7.593
K Ce Sn Br
2 1 1 8
Cartesian
0.000 2.234 0.000
0.000 6.864 0.000
3.340 4.549 3.797
3.340 0.000 3.797
1.811 0.000 1.388
1.725 2.426 4.780
1.725 6.672 4.780
1.905 4.549 1.406
4.774 4.549 6.188
4.955 2.426 2.813
4.955 6.672 2.813
4.869 0.000 6.206

[8]
TaSb2IF | the Alexandria database | GGA-PBE | optimized geometry; DFT total energy = -0.1701 hartree per atom; DOS at the Fermi energy = 1.0143 states/eV per atom; energy relative to the elements, uncorrected = 76 meV/atom; distance to the lowest polymorph of the same formula = 0.000 eV/atom
1.0
5.335 0.000 0.000
0.000 5.335 0.000
0.000 0.000 5.433
Ta Sb I F
1 2 1 1
Cartesian
0.000 0.000 0.000
0.000 2.667 0.000
2.667 0.000 0.000
0.000 0.000 2.716
2.667 2.667 2.716

[9]
Pr3Y3HoS8 | the Alexandria database | GGA-PBE | optimized geometry; DFT total energy = -0.2501 hartree per atom; DOS at the Fermi energy = 0.4718 states/eV per atom; energy relative to the elements, uncorrected = -2052 meV/atom
1.0
3.971 2.293 6.616
-3.971 2.293 6.616
0.000 -4.586 6.616
Pr Y Ho S
3 3 1 8
Cartesian
-1.986 -1.146 6.616
-1.986 1.146 13.231
0.000 2.293 6.616
-3.971 0.000 9.923
-1.986 1.146 3.308
1.986 1.146 3.308
0.000 0.000 9.923
0.000 0.000 4.850
-1.986 -1.146 11.469
0.000 -2.293 8.378
-1.986 1.146 8.378
1.986 -1.146 11.469
0.000 2.293 11.469
1.986 1.146 8.378
0.000 0.000 14.997

[10]
TlHg2P | the Alexandria database | GGA-PBE | optimized geometry; DFT total energy = -0.0644 hartree per atom; ΔE_f = 0.343 eV per atom; DOS at the Fermi energy = 0.4654 states/eV per atom; distance to the lowest polymorph of the same formula = 0.199 eV/atom
1.0
0.000 3.655 3.655
3.655 0.000 3.655
3.655 3.655 0.000
Tl Hg P
1 2 1
Cartesian
0.000 0.000 0.000
1.828 1.828 1.828
5.483 5.483 5.483
3.655 3.655 3.655

[11]
Rb2OsCl | the Alexandria database | GGA-PBE | optimized geometry; DFT total energy = -0.1145 hartree per atom; DOS at the Fermi energy = 1.5385 states/eV per atom; energy relative to the elements, uncorrected = 637 meV/atom
1.0
0.000 4.222 4.222
4.222 0.000 4.222
4.222 4.222 0.000
Rb Os Cl
2 1 1
Cartesian
2.111 2.111 2.111
6.333 6.333 6.333
0.000 0.000 0.000
4.222 4.222 4.222

[12]
AlC3N | the Alexandria database | GGA-PBE | optimized geometry; DFT total energy = -0.1840 hartree per atom; DOS at the Fermi energy = 0.4698 states/eV per atom; energy relative to the elements, uncorrected = 2942 meV/atom; distance to the lowest polymorph of the same formula = 0.000 eV/atom
1.0
3.485 0.000 0.000
0.000 3.485 0.000
0.000 0.000 3.485
Al C N
1 3 1
Cartesian
0.000 0.000 0.000
0.000 1.743 1.743
1.743 0.000 1.743
1.743 1.743 0.000
1.743 1.743 1.743

[13]
BaFe3Sn | the Alexandria database | GGA-PBE | optimized geometry; DFT total energy = -0.1524 hartree per atom; ΔE_f = 2.115 eV per atom; DOS at the Fermi energy = 1.8636 states/eV per atom; distance to the lowest polymorph of the same formula = 1.226 eV/atom
1.0
4.841 0.000 0.000
0.000 4.841 0.000
0.000 0.000 4.841
Ba Fe Sn
1 3 1
Cartesian
0.000 0.000 0.000
0.000 0.000 2.421
0.000 2.421 0.000
2.421 0.000 0.000
2.421 2.421 2.421

[14]
PaTl5Se5 | the Alexandria database | GGA-PBE | optimized geometry; DFT total energy = -0.1549 hartree per atom; energy relative to the elements, uncorrected = -693 meV/atom
1.0
7.247 -3.061 0.000
7.247 3.061 0.000
-3.512 0.000 8.425
Pa Tl Se
1 5 5
Cartesian
0.000 0.000 0.000
-1.756 0.000 4.212
1.934 0.000 5.854
4.281 0.000 1.630
6.701 0.000 6.795
9.048 0.000 2.571
0.957 0.000 2.553
-0.922 0.000 7.472
7.247 0.000 0.000
11.904 0.000 0.953
10.025 0.000 5.872

[15]
HfCd2Cl8 | the Alexandria database | GGA-PBE | optimized geometry; DFT total energy = -0.1380 hartree per atom; DOS at the Fermi energy = 0.0000 states/eV per atom; energy relative to the elements, uncorrected = -1341 meV/atom
1.0
8.432 -3.443 0.000
8.432 3.443 0.000
-0.688 0.000 6.324
Hf Cd Cl
1 2 8
Cartesian
0.000 0.000 0.000
2.339 0.000 2.898
13.836 0.000 3.426
1.600 0.000 5.349
6.986 1.743 4.721
4.666 0.000 2.432
9.190 1.743 1.603
6.986 -1.743 4.721
11.510 0.000 3.892
9.190 -1.743 1.603
14.576 0.000 0.976

[16]
CuSbTe | the Alexandria database | GGA-PBE | optimized geometry; DFT total energy = -0.1311 hartree per atom; DOS at the Fermi energy = 0.6048 states/eV per atom; energy relative to the elements, uncorrected = 220 meV/atom
1.0
-1.769 1.769 5.828
1.769 -1.769 5.828
1.769 1.769 -5.828
Cu Sb Te
1 1 1
Cartesian
0.000 0.000 0.000
0.000 0.000 4.403
0.000 0.000 7.279

[17]
Dy5YSc | the Alexandria database | GGA-PBE | optimized geometry; DFT total energy = -0.1506 hartree per atom; ΔE_f = 1.017 eV per atom; DOS at the Fermi energy = 1.2390 states/eV per atom; distance to the lowest polymorph of the same formula = 0.852 eV/atom
1.0
-2.847 4.227 5.889
2.847 -4.227 5.889
2.847 4.227 -5.889
Dy Y Sc
5 1 1
Cartesian
0.000 0.000 0.000
2.847 0.000 2.846
2.847 2.681 0.000
0.000 1.546 5.889
0.000 4.227 3.042
0.000 4.227 0.000
2.847 0.000 0.000

[18]
CeLuRe | the Alexandria database | GGA-PBE | optimized geometry; DFT total energy = -0.2794 hartree per atom; ΔE_f = 0.032 eV per atom; DOS at the Fermi energy = 0.8283 states/eV per atom
1.0
-1.691 1.691 6.470
1.691 -1.691 6.470
1.691 1.691 -6.470
Ce Lu Re
1 1 1
Cartesian
0.000 0.000 0.000
0.000 0.000 9.598
0.000 0.000 4.833

[19]
AcHo5Bi6 | the Alexandria database | GGA-PBE | optimized geometry; DFT total energy = -0.1849 hartree per atom; ΔE_f = -0.842 eV per atom; DOS at the Fermi energy = 0.1913 states/eV per atom
1.0
3.928 -6.808 0.000
3.928 6.808 0.000
-2.635 0.000 7.401
Ac Ho Bi
1 5 6
Cartesian
0.000 0.000 0.000
2.611 4.620 3.701
3.928 2.300 0.000
2.611 0.000 3.701
3.928 -2.300 0.000
2.611 -4.620 3.701
1.362 2.362 1.926
0.103 0.000 5.522
1.362 -2.362 1.926
3.859 2.362 5.475
5.118 0.000 1.879
3.859 -2.362 5.475

[20]
Li5BeHN2 | the Alexandria database | GGA-PBE | optimized geometry; DFT total energy = -0.1543 hartree per atom; DOS at the Fermi energy = 0.0000 states/eV per atom
1.0
3.914 0.000 0.000
0.000 3.914 0.000
0.000 0.000 7.000
Li Be H N
5 1 1 2
Cartesian
0.000 0.000 0.000
0.000 1.957 1.715
0.000 1.957 5.285
1.957 0.000 1.715
1.957 0.000 5.285
0.000 0.000 3.500
1.957 1.957 0.000
0.000 0.000 1.967
0.000 0.000 5.033

[21]
Pm2BeNi4As3 | the Alexandria database | GGA-PBE | optimized geometry; DFT total energy = -0.2132 hartree per atom; ΔE_f = -0.772 eV per atom; DOS at the Fermi energy = 0.5572 states/eV per atom
1.0
4.055 0.000 0.000
0.000 4.055 0.000
0.000 0.000 9.606
Pm Be Ni As
2 1 4 3
Cartesian
0.000 2.027 2.373
2.027 0.000 7.233
2.027 2.027 0.000
0.000 0.000 4.803
0.000 2.027 8.483
2.027 0.000 1.124
2.027 2.027 4.803
0.000 0.000 0.000
0.000 2.027 6.116
2.027 0.000 3.490

[22]
HgW | the Alexandria database | GGA-PBE | optimized geometry; DFT total energy = -0.1911 hartree per atom; ΔE_f = 1.427 eV per atom; DOS at the Fermi energy = 0.9773 states/eV per atom; distance to the lowest polymorph of the same formula = 0.922 eV/atom
1.0
4.535 0.000 0.000
-2.268 3.928 0.000
0.000 0.000 4.927
Hg W
2 2
Cartesian
0.000 2.618 1.232
2.268 1.309 3.695
0.000 0.000 0.000
0.000 0.000 2.463

[23]
CaTlSe2 | the Alexandria database | GGA-PBE | optimized geometry; DFT total energy = -0.1452 hartree per atom; DOS at the Fermi energy = 0.2686 states/eV per atom; energy relative to the elements, uncorrected = -1118 meV/atom
1.0
4.218 0.000 0.000
0.000 4.218 0.000
0.000 0.000 6.165
Ca Tl Se
1 1 2
Cartesian
0.000 0.000 0.000
2.109 2.109 3.083
0.000 0.000 3.083
2.109 2.109 0.000

[24]
CeNd5Ag4 | the Alexandria database | GGA-PBE | optimized geometry; DFT total energy = -0.1580 hartree per atom; ΔE_f = -0.182 eV per atom; DOS at the Fermi energy = 1.1421 states/eV per atom
1.0
3.715 0.000 0.000
0.000 3.715 0.000
0.000 0.000 19.943
Ce Nd Ag
1 5 4
Cartesian
0.000 0.000 0.000
1.858 1.858 2.341
1.858 1.858 6.141
1.858 1.858 9.972
1.858 1.858 13.803
1.858 1.858 17.602
0.000 0.000 4.247
0.000 0.000 8.058
0.000 0.000 11.885
0.000 0.000 15.696

[25]
LiSmMgAg2 | the Alexandria database | GGA-PBE | optimized geometry; DFT total energy = -0.1102 hartree per atom; ΔE_f = -0.213 eV per atom; DOS at the Fermi energy = 0.5972 states/eV per atom
1.0
-2.029 2.029 6.688
2.029 -2.029 6.688
2.029 2.029 -6.688
Li Sm Mg Ag
1 1 1 2
Cartesian
0.000 0.000 0.000
0.000 2.029 3.344
0.000 0.000 6.688
2.029 0.000 1.930
2.029 0.000 4.759

[26]
InP2Au | the Alexandria database | GGA-PBE | optimized geometry; DFT total energy = -0.1377 hartree per atom; ΔE_f = 0.461 eV per atom; DOS at the Fermi energy = 0.1838 states/eV per atom
1.0
5.057 0.000 0.000
0.000 5.057 0.000
0.000 0.000 2.895
In P Au
1 2 1
Cartesian
0.000 0.000 0.000
0.000 2.529 1.447
2.529 0.000 1.447
2.529 2.529 0.000